Material: Pm4Ho3In2
Method: DFT, PBE
State: optimized geometry

Calculated values
**Magnetization**: 0.000 Bohr magnetons per cell
**Space group**: P-1, No. 2
**Total DFT energy (no corrections)**: -4.431 eV/atom
**D(E_F)**: 1.036 states/eV per atom
**Energy of formation**: -0.19 eV per atom

Cell lengths 5.373, 6.784, 9.605 Å; angles 60.18, 73.80, 66.66 degrees
Element x y z (fractional)
Pm 0.331 0.374 0.965
Pm 0.883 0.576 0.657
Pm 0.117 0.424 0.343
Pm 0.669 0.626 0.035
Ho 0.580 0.194 0.647
Ho 0.000 0.000 0.000
Ho 0.420 0.806 0.353
In 0.792 0.097 0.318
In 0.208 0.903 0.682


Material: PmHo6In4
Method: DFT, PBE
State: optimized geometry

Calculated values
**Magnetization**: 2.289 Bohr magnetons per cell
**Space group**: P-6m2, No. 187
**Total DFT energy (no corrections)**: -4.217 eV/atom
**D(E_F)**: 0.883 states/eV per atom
**Energy of formation**: -0.29 eV per atom

Cell lengths 3.708, 10.070, 10.070 Å; angles 120.00, 90.00, 90.00 degrees
Element x y z (fractional)
Pm 0.000 0.000 0.000
Ho 0.000 0.537 0.075
Ho 0.500 0.619 0.809
Ho 0.000 0.537 0.463
Ho 0.000 0.925 0.463
Ho 0.500 0.191 0.809
Ho 0.500 0.191 0.381
In 0.500 0.837 0.674
In 0.500 0.326 0.163
In 0.500 0.837 0.163
In 0.000 0.333 0.667


Material: Pm9HoIn2
Method: DFT, PBE
State: optimized geometry

Calculated values
**Magnetization**: 0.000 Bohr magnetons per cell
**Space group**: P4/mmm, No. 123
**Total DFT energy (no corrections)**: -4.574 eV/atom
**D(E_F)**: 1.234 states/eV per atom
**Energy of formation**: -0.17 eV per atom

Cell lengths 4.977, 4.977, 15.238 Å; angles 90.00, 90.00, 90.00 degrees
Element x y z (fractional)
Pm 0.500 0.500 0.000
Pm 0.500 0.500 0.337
Pm 0.500 0.500 0.663
Pm 0.500 0.000 0.173
Pm 0.500 0.000 0.500
Pm 0.500 0.000 0.827
Pm 0.000 0.500 0.173
Pm 0.000 0.500 0.500
Pm 0.000 0.500 0.827
Ho 0.000 0.000 0.000
In 0.000 0.000 0.339
In 0.000 0.000 0.661


Material: Pm4Ho15In
Method: DFT, PBE
State: optimized geometry

Calculated values
**Magnetization**: 0.000 Bohr magnetons per cell
**Space group**: Pmmm, No. 47
**Total DFT energy (no corrections)**: -4.517 eV/atom
**D(E_F)**: 1.513 states/eV per atom
**Energy of formation**: 0.00 eV per atom

Cell lengths 3.691, 5.616, 30.576 Å; angles 90.00, 90.00, 90.00 degrees
Element x y z (fractional)
Pm 0.000 0.000 0.183
Pm 0.000 0.000 0.390
Pm 0.000 0.000 0.610
Pm 0.000 0.000 0.817
Ho 0.500 0.500 0.000
Ho 0.500 0.500 0.213
Ho 0.500 0.500 0.411
Ho 0.500 0.500 0.589
Ho 0.500 0.500 0.787
Ho 0.500 0.000 0.083
Ho 0.500 0.000 0.285
Ho 0.500 0.000 0.500
Ho 0.500 0.000 0.715
Ho 0.500 0.000 0.917
Ho 0.000 0.500 0.109
Ho 0.000 0.500 0.314
Ho 0.000 0.500 0.500
Ho 0.000 0.500 0.686
Ho 0.000 0.500 0.891
In 0.000 0.000 0.000


Material: PmHo3In4
Method: DFT, PBE
State: optimized geometry

Calculated values
**Magnetization**: 0.000 Bohr magnetons per cell
**Space group**: Pmma, No. 51
**Relative energy among the computed polymorphs**: 0 meV/atom
**Total DFT energy (no corrections)**: -4.141 eV/atom
**D(E_F)**: 0.588 states/eV per atom
**Energy of formation**: -0.46 eV per atom

Cell lengths 5.494, 7.242, 10.783 Å; angles 90.00, 90.00, 90.00 degrees
Element x y z (fractional)
In 0.500 0.757 0.000
In 0.500 0.757 0.500
In 0.500 0.243 0.000
In 0.500 0.243 0.500
In 0.081 0.756 0.750
In 0.919 0.756 0.250
In 0.919 0.244 0.250
In 0.081 0.244 0.750
Ho 0.000 0.000 0.000
Ho 0.000 0.000 0.500
Ho 0.576 0.000 0.750
Ho 0.424 0.000 0.250
Ho 0.567 0.500 0.750
Ho 0.433 0.500 0.250
Pm 0.000 0.500 0.000
Pm 0.000 0.500 0.500


Material: PmHo4In3
Method: DFT, PBE
State: optimized geometry

Calculated values
**Magnetization**: 1.390 Bohr magnetons per cell
**Space group**: R-3m, No. 166
**Relative energy among the computed polymorphs**: 0 meV/atom
**Total DFT energy (no corrections)**: -4.218 eV/atom
**D(E_F)**: 1.275 states/eV per atom
**Energy of formation**: -0.31 eV per atom

Cell lengths 5.347, 5.347, 9.634 Å; angles 73.89, 73.89, 60.00 degrees
Element x y z (fractional)
In 0.263 0.263 0.212
In 0.737 0.737 0.788
In 0.500 0.500 0.500
Ho 0.870 0.870 0.389
Ho 0.388 0.388 0.837
Ho 0.130 0.130 0.611
Ho 0.612 0.612 0.163
Pm 0.000 0.000 0.000


Material: PmHo15In4
Method: DFT, PBE
State: optimized geometry

Calculated values
**Magnetization**: 0.003 Bohr magnetons per cell
**Space group**: P4/mmm, No. 123
**Total DFT energy (no corrections)**: -4.417 eV/atom
**D(E_F)**: 1.371 states/eV per atom
**Energy of formation**: -0.20 eV per atom

Cell lengths 4.838, 4.838, 24.630 Å; angles 90.00, 90.00, 90.00 degrees
Element x y z (fractional)
Pm 0.000 0.000 0.000
Ho 0.500 0.500 0.000
Ho 0.500 0.500 0.206
Ho 0.500 0.500 0.402
Ho 0.500 0.500 0.598
Ho 0.500 0.500 0.794
Ho 0.500 0.000 0.106
Ho 0.500 0.000 0.304
Ho 0.500 0.000 0.500
Ho 0.500 0.000 0.696
Ho 0.500 0.000 0.894
Ho 0.000 0.500 0.106
Ho 0.000 0.500 0.304
Ho 0.000 0.500 0.500
Ho 0.000 0.500 0.696
Ho 0.000 0.500 0.894
In 0.000 0.000 0.207
In 0.000 0.000 0.402
In 0.000 0.000 0.598
In 0.000 0.000 0.793


Material: Pm2HoIn2
Method: DFT, PBE
State: optimized geometry

Calculated values
**Magnetization**: 0.000 Bohr magnetons per cell
**Space group**: Cmc2_1, No. 36
**Relative energy among the computed polymorphs**: 47 meV/atom
**Total DFT energy (no corrections)**: -4.245 eV/atom
**D(E_F)**: 1.106 states/eV per atom
**Energy of formation**: -0.33 eV per atom

Cell lengths 5.536, 6.560, 8.527 Å; angles 90.00, 108.94, 90.00 degrees
Element x y z (fractional)
Pm 0.971 0.793 0.942
Pm 0.801 0.340 0.602
Pm 0.199 0.840 0.398
Pm 0.029 0.293 0.058
Ho 0.403 0.082 0.806
Ho 0.597 0.582 0.194
In 0.399 0.567 0.798
In 0.782 0.853 0.564
In 0.218 0.353 0.436
In 0.601 0.067 0.202


Material: Pm5Ho2In
Method: DFT, PBE
State: optimized geometry

Calculated values
**Magnetization**: 0.000 Bohr magnetons per cell
**Space group**: Immm, No. 71
**Relative energy among the computed polymorphs**: 26 meV/atom
**Total DFT energy (no corrections)**: -4.490 eV/atom
**D(E_F)**: 1.334 states/eV per atom
**Energy of formation**: -0.03 eV per atom

Cell lengths 3.470, 11.238, 8.786 Å; angles 129.76, 101.40, 90.00 degrees
Element x y z (fractional)
Pm 0.000 0.500 0.000
Pm 0.629 0.393 0.260
Pm 0.371 0.607 0.740
Pm 0.629 0.867 0.260
Pm 0.371 0.133 0.740
Ho 0.268 0.768 0.537
Ho 0.732 0.232 0.463
In 0.000 0.000 0.000


Material: Pm2HoIn2
Method: DFT, PBE
State: optimized geometry

Calculated values
**Magnetization**: 0.000 Bohr magnetons per cell
**Space group**: P2_1/m, No. 11
**Relative energy among the computed polymorphs**: 0 meV/atom
**Total DFT energy (no corrections)**: -4.292 eV/atom
**D(E_F)**: 0.967 states/eV per atom
**Energy of formation**: -0.38 eV per atom

Cell lengths 4.508, 4.932, 13.049 Å; angles 90.00, 99.94, 90.00 degrees
Element x y z (fractional)
Pm 0.049 0.750 0.098
Pm 0.951 0.250 0.902
Pm 0.239 0.750 0.479
Pm 0.761 0.250 0.521
Ho 0.857 0.750 0.713
Ho 0.143 0.250 0.287
In 0.649 0.750 0.298
In 0.351 0.250 0.702
In 0.452 0.750 0.904
In 0.548 0.250 0.096


Material: Pm2Ho6In
Method: DFT, PBE
State: optimized geometry

Calculated values
**Magnetization**: 0.000 Bohr magnetons per cell
**Space group**: Immm, No. 71
**Total DFT energy (no corrections)**: -4.431 eV/atom
**D(E_F)**: 1.124 states/eV per atom
**Energy of formation**: -0.02 eV per atom

Cell lengths 3.487, 10.153, 9.589 Å; angles 121.97, 100.44, 90.00 degrees
Element x y z (fractional)
Pm 0.152 0.652 0.304
Pm 0.848 0.348 0.696
Ho 0.178 0.339 0.354
Ho 0.822 0.985 0.646
Ho 0.822 0.661 0.646
Ho 0.500 0.296 0.000
Ho 0.178 0.015 0.354
Ho 0.500 0.704 0.000
In 0.000 0.000 0.000


Material: Pm4Ho3In4
Method: DFT, PBE
State: optimized geometry

Calculated values
**Magnetization**: 0.000 Bohr magnetons per cell
**Space group**: Immm, No. 71
**Total DFT energy (no corrections)**: -4.281 eV/atom
**D(E_F)**: 0.941 states/eV per atom
**Energy of formation**: -0.31 eV per atom

Cell lengths 3.618, 9.431, 10.914 Å; angles 115.60, 99.54, 90.00 degrees
Element x y z (fractional)
Pm 0.338 0.161 0.677
Pm 0.662 0.485 0.323
Pm 0.662 0.839 0.323
Pm 0.338 0.515 0.677
Ho 0.094 0.094 0.188
Ho 0.906 0.906 0.812
Ho 0.000 0.500 0.000
In 0.275 0.775 0.550
In 0.725 0.225 0.450
In 0.500 0.781 0.000
In 0.500 0.219 0.000